Compound: Tl6Pd12Pb
Source: Alexandria via LeMat-Bulk
Functional: PBE-GGA
Structure: optimized geometry

CIF file:
```
data_Tl6Pd12Pb
_chemical_formula_sum 'Tl18 Pd36 Pb3'
_space_group_name_H-M_alt 'R -3'
_space_group_IT_number 148
_space_group_name_Hall '-R 3'
_cell_length_a 12.1625
_cell_length_b 12.1625
_cell_length_c 8.6631
_cell_angle_alpha 90.00
_cell_angle_beta 90.00
_cell_angle_gamma 120.00
loop_
_atom_site_label
_atom_site_type_symbol
_atom_site_fract_x
_atom_site_fract_y
_atom_site_fract_z
Tl1 Tl 0.0499 0.2200 0.2319
Pd1 Pd 0.0530 0.2394 0.5814
Pd2 Pd 0.0589 0.2384 0.9150
Pb1 Pb 0.0000 0.0000 0.5000
```

Computed properties:
Density of states at the Fermi level, states/eV/atom: 0.4247
Total energy, eV per atom: -4.33
M_tot, μB per atom: 0.0000
Formation energy, eV per atom: -0.108